Compound: Dy4Cu2HgRh
Source: Alexandria via LeMat-Bulk
Functional: GGA-PBE
Structure: relaxed

The structure in POSCAR format:
```
Dy4Cu2HgRh
1.0
2.498 1.442 8.129
-2.498 1.442 8.129
0.000 -2.885 8.129
Dy Cu Hg Rh
4 2 1 1
Direct
0.118 0.118 0.118
0.370 0.370 0.370
0.630 0.630 0.630
0.882 0.882 0.882
0.246 0.246 0.246
0.754 0.754 0.754
0.500 0.500 0.500
0.000 0.000 0.000
```

Summary:
DFT formation energy   -470 meV/atom

Compound: SmCu2Br6
Source: Alexandria via LeMat-Bulk
Functional: GGA-PBE
Structure: relaxed

The structure in POSCAR format:
```
SmCu2Br6
1.0
7.473 -6.183 0.000
7.473 6.183 0.000
-0.918 0.000 6.857
Sm Cu Br
2 4 12
Direct
0.102 0.898 0.750
0.898 0.102 0.250
0.309 0.451 0.736
0.451 0.309 0.236
0.549 0.691 0.764
0.691 0.549 0.264
0.041 0.179 0.615
0.131 0.620 0.876
0.179 0.041 0.115
0.284 0.469 0.395
0.380 0.869 0.624
0.469 0.284 0.895
0.531 0.716 0.105
0.620 0.131 0.376
0.716 0.531 0.605
0.821 0.959 0.885
0.869 0.380 0.124
0.959 0.821 0.385
```

Summary:
ΔE_f (raw)   -964 meV per atom

Compound: CsHf2Ni
Source: Alexandria via LeMat-Bulk
Functional: GGA-PBE
Structure: relaxed

The structure in POSCAR format:
```
CsHf2Ni
1.0
-3.125 3.125 7.495
3.125 -3.125 7.495
3.125 3.125 -7.495
Cs Hf Ni
2 4 2
Direct
0.375 0.625 0.750
0.625 0.375 0.250
0.000 0.000 0.000
0.000 0.000 0.500
0.000 0.500 0.000
0.500 0.000 0.500
0.125 0.875 0.250
0.875 0.125 0.750
```

Summary:
DFT formation energy   1145 meV/atom

Compound: Fe4P
Source: Alexandria via LeMat-Bulk
Functional: GGA-PBE
Structure: relaxed

The structure in POSCAR format:
```
Fe4P
1.0
-2.683 2.683 1.962
2.683 -2.683 1.962
2.683 2.683 -1.962
Fe P
4 1
Direct
0.121 0.698 0.820
0.302 0.121 0.423
0.698 0.879 0.577
0.879 0.302 0.180
0.500 0.500 0.000
```

Summary:
DFT formation energy   -104 meV/atom

Compound: AgRu2Pb
Source: Alexandria via LeMat-Bulk
Functional: GGA-PBE
Structure: relaxed

The structure in POSCAR format:
```
AgRu2Pb
1.0
1.521 0.878 8.824
-1.521 0.878 8.824
0.000 -1.756 8.824
Ag Ru Pb
1 2 1
Direct
0.000 0.000 0.000
0.249 0.249 0.249
0.751 0.751 0.751
0.500 0.500 0.500
```

Summary:
DFT formation energy   773 meV/atom

Compound: LiInCl2
Source: Alexandria via LeMat-Bulk
Functional: GGA-PBE
Structure: relaxed

The structure in POSCAR format:
```
LiInCl2
1.0
4.107 0.000 0.000
0.000 3.545 0.000
-0.759 0.000 7.192
Li In Cl
1 1 2
Direct
0.000 0.000 0.000
0.500 0.000 0.500
0.053 0.500 0.769
0.947 0.500 0.231
```

Summary:
ΔE_f (raw)   -1222 meV per atom

no.,D(E_F) (states/eV/f.u.)
1,4.4
2,6.0
3,8.5
4,3.8
5,5.1
6,0.0